No. 1
# KMg2Ir | Alexandria via LeMat-Bulk | PBE | optimized geometry
# crystal system: triclinic
# symmetry: P-1
# E_form: 41 kJ/mol of atoms
# distance to the lowest polymorph of the same formula: 0.439 eV per atom
# uncorrected energy: -0.2103 Ry per atom
data_KMg2Ir
_chemical_formula_sum 'K1 Mg2 Ir1'
_space_group_name_H-M_alt 'P 1'
_space_group_IT_number 1
_space_group_name_Hall 'P 1'
_cell_length_a 7.8315
_cell_length_b 5.0270
_cell_length_c 3.2350
_cell_angle_alpha 89.84
_cell_angle_beta 65.44
_cell_angle_gamma 130.02
loop_
_atom_site_label
_atom_site_fract_x
_atom_site_fract_y
_atom_site_fract_z
_atom_site_occupancy
Ir1 0.0000 0.5000 0.5000 1
Mg1 0.5000 0.0000 0.5000 1
Mg2 0.0000 0.0000 0.0000 1
K1 0.5000 0.5000 0.0000 1



No. 2
# KMg2Ir | Alexandria via LeMat-Bulk | PBE | optimized geometry
# crystal system: cubic
# symmetry: Fm-3m
# E_form: 24 kJ/mol of atoms
# distance to the lowest polymorph of the same formula: 0.264 eV per atom
# uncorrected energy: -0.2232 Ry per atom
data_KMg2Ir
_chemical_formula_sum 'K1 Mg2 Ir1'
_space_group_name_H-M_alt 'P 1'
_space_group_IT_number 1
_space_group_name_Hall 'P 1'
_cell_length_a 4.8944
_cell_length_b 4.8944
_cell_length_c 4.8944
_cell_angle_alpha 60.00
_cell_angle_beta 60.00
_cell_angle_gamma 60.00
loop_
_atom_site_label
_atom_site_fract_x
_atom_site_fract_y
_atom_site_fract_z
_atom_site_occupancy
Ir1 0.5000 0.5000 0.5000 1
Mg1 0.2500 0.2500 0.2500 1
Mg2 0.7500 0.7500 0.7500 1
K1 0.0000 0.0000 0.0000 1



No. 3
# KMgIr2 | Alexandria via LeMat-Bulk | PBE | optimized geometry
# crystal system: orthorhombic
# symmetry: Cmmm
# E_form: 61 kJ/mol of atoms
# uncorrected energy: -0.3287 Ry per atom
data_KMgIr2
_chemical_formula_sum 'K1 Mg1 Ir2'
_space_group_name_H-M_alt 'P 1'
_space_group_IT_number 1
_space_group_name_Hall 'P 1'
_cell_length_a 5.5019
_cell_length_b 5.5019
_cell_length_c 2.6727
_cell_angle_alpha 90.00
_cell_angle_beta 90.00
_cell_angle_gamma 115.51
loop_
_atom_site_label
_atom_site_fract_x
_atom_site_fract_y
_atom_site_fract_z
_atom_site_occupancy
Ir1 0.0000 0.0000 0.0000 1
Ir2 0.5000 0.5000 0.0000 1
Mg1 0.0000 0.5000 0.5000 1
K1 0.5000 0.0000 0.5000 1



No. 4
# KMgIr2 | Alexandria via LeMat-Bulk | PBE | optimized geometry
# crystal system: tetragonal
# symmetry: P4/mmm
# E_form: 35 kJ/mol of atoms
# uncorrected energy: -0.3485 Ry per atom
data_KMgIr2
_chemical_formula_sum 'K1 Mg1 Ir2'
_space_group_name_H-M_alt 'P 1'
_space_group_IT_number 1
_space_group_name_Hall 'P 1'
_cell_length_a 2.7990
_cell_length_b 2.7990
_cell_length_c 9.3084
_cell_angle_alpha 90.00
_cell_angle_beta 90.00
_cell_angle_gamma 90.00
loop_
_atom_site_label
_atom_site_fract_x
_atom_site_fract_y
_atom_site_fract_z
_atom_site_occupancy
K1 0.5000 0.5000 0.2500 1
Mg1 0.5000 0.5000 0.7500 1
Ir1 0.0000 0.0000 0.5411 1
Ir2 0.0000 0.0000 0.9589 1



No. 5
# KMgIr2 | Alexandria via LeMat-Bulk | PBE | optimized geometry
# crystal system: orthorhombic
# symmetry: Cmmm
# E_form: 29 kJ/mol of atoms
# uncorrected energy: -0.3528 Ry per atom
data_KMgIr2
_chemical_formula_sum 'K1 Mg1 Ir2'
_space_group_name_H-M_alt 'P 1'
_space_group_IT_number 1
_space_group_name_Hall 'P 1'
_cell_length_a 2.8153
_cell_length_b 2.8153
_cell_length_c 9.7995
_cell_angle_alpha 90.00
_cell_angle_beta 90.00
_cell_angle_gamma 115.46
loop_
_atom_site_label
_atom_site_fract_x
_atom_site_fract_y
_atom_site_fract_z
_atom_site_occupancy
K1 0.5000 0.5000 0.2500 1
Ir1 0.0000 0.0000 0.9674 1
Ir2 0.0000 0.0000 0.5326 1
Mg1 0.5000 0.5000 0.7500 1



No. 6
# KMgIr2 | Alexandria via LeMat-Bulk | PBE | optimized geometry
# crystal system: monoclinic
# symmetry: C2/m
# E_form: 33 kJ/mol of atoms
# uncorrected energy: -0.3503 Ry per atom
data_KMgIr2
_chemical_formula_sum 'K1 Mg1 Ir2'
_space_group_name_H-M_alt 'P 1'
_space_group_IT_number 1
_space_group_name_Hall 'P 1'
_cell_length_a 4.8557
_cell_length_b 4.8557
_cell_length_c 6.8362
_cell_angle_alpha 83.17
_cell_angle_beta 83.17
_cell_angle_gamma 33.36
loop_
_atom_site_label
_atom_site_fract_x
_atom_site_fract_y
_atom_site_fract_z
_atom_site_occupancy
Mg1 0.7500 0.7500 0.7500 1
Ir1 0.4818 0.4818 0.5967 1
Ir2 0.0182 0.0182 0.9033 1
K1 0.2500 0.2500 0.2500 1



Question: uncorrected energy of number 4 (KMgIr2)?
Answer: -0.3485 Ry per atom



Question: What is the E_form in the sixth record?
Answer: 33 kJ/mol of atoms



What did the third record say?
# KMgIr2 | Alexandria via LeMat-Bulk | PBE | optimized geometry
# crystal system: orthorhombic
# symmetry: Cmmm
# E_form: 61 kJ/mol of atoms
# uncorrected energy: -0.3287 Ry per atom
data_KMgIr2
_chemical_formula_sum 'K1 Mg1 Ir2'
_space_group_name_H-M_alt 'P 1'
_space_group_IT_number 1
_space_group_name_Hall 'P 1'
_cell_length_a 5.5019
_cell_length_b 5.5019
_cell_length_c 2.6727
_cell_angle_alpha 90.00
_cell_angle_beta 90.00
_cell_angle_gamma 115.51
loop_
_atom_site_label
_atom_site_fract_x
_atom_site_fract_y
_atom_site_fract_z
_atom_site_occupancy
Ir1 0.0000 0.0000 0.0000 1
Ir2 0.5000 0.5000 0.0000 1
Mg1 0.0000 0.5000 0.5000 1
K1 0.5000 0.0000 0.5000 1